[1]
Here is Sr2TlOs after structural relaxation from Alexandria via LeMat-Bulk. Energies are from PBE.

The structure in POSCAR format:
```
Sr2TlOs
1.0
4.7658 0.0000 0.0000
0.0000 4.7658 0.0000
0.0000 0.0000 9.3056
Sr Tl Os
4 2 2
Direct
0.0000 0.0000 0.0000
0.0000 0.5000 0.2500
0.5000 0.0000 0.7500
0.5000 0.5000 0.5000
0.0000 0.5000 0.7500
0.5000 0.0000 0.2500
0.0000 0.0000 0.5000
0.5000 0.5000 0.0000
```

Output
Space-group type ... I-4m2 (119)
DFT formation energy ... 532 meV/atom
Crystal system ... tetragonal
Mass density ... 9.0 g/cm3
Calculated total energy ... -0.1363 Ha/atom
Total moment ... 0.000 μB per atom

---

[2]
Here is SrTl3Os after structural relaxation from Alexandria via LeMat-Bulk. Energies are from PBE.

The structure in POSCAR format:
```
SrTl3Os
1.0
5.3332 0.0000 0.0000
0.0000 5.3332 0.0000
0.0000 0.0000 5.3332
Sr Tl Os
1 3 1
Direct
0.0000 0.0000 0.0000
0.0000 0.5000 0.5000
0.5000 0.0000 0.5000
0.5000 0.5000 0.0000
0.5000 0.5000 0.5000
```

Output
Space-group type ... Pm-3m (221)
DFT formation energy ... 244 meV/atom
Crystal system ... cubic
Mass density ... 9.8 g/cm3
Calculated total energy ... -0.1381 Ha/atom
Total moment ... 0.000 μB per atom

---

[3]
Here is Sr2TlOs after structural relaxation from Alexandria via LeMat-Bulk. Energies are from PBE.

The structure in POSCAR format:
```
Sr2TlOs
1.0
3.7217 0.0000 0.0000
0.0000 3.7217 0.0000
0.0000 0.0000 8.9546
Sr Tl Os
2 1 1
Direct
0.0000 0.0000 0.0000
0.5000 0.5000 0.4168
0.0000 0.0000 0.6459
0.5000 0.5000 0.7763
```

Output
Space-group type ... P4mm (99)
DFT formation energy ... 439 meV/atom
Crystal system ... tetragonal
Mass density ... 7.6 g/cm3
Calculated total energy ... -0.1397 Ha/atom
Total moment ... 0.000 μB per atom